(1)
Below is a relaxed structure of NaIn2GaF, with properties calculated at the GGA-PBE level.

Values from the calculation:
- Crystal system: tetragonal

Lattice parameters (Å, degrees): 5.718 5.718 5.266 90.00 90.00 90.00
Space group P4/mmm (No. 123)
Asymmetric unit:
1 Na 0.000 0.000 0.000
2 In 0.000 0.500 0.000
3 Ga 0.000 0.000 0.500
4 F 0.500 0.500 0.500

(2)
Below is a relaxed structure of InGaOF2, with properties calculated at the GGA-PBE level.

Values from the calculation:
- Crystal system: tetragonal
- E above lowest polymorph: 103 meV/atom

Lattice parameters (Å, degrees): 4.402 4.402 4.057 90.00 90.00 90.00
Space group P4/mmm (No. 123)
Asymmetric unit:
1 In 0.000 0.000 0.000
2 Ga 0.500 0.500 0.500
3 O 0.000 0.000 0.500
4 F 0.000 0.500 0.000

(3)
Below is a relaxed structure of InGaOF2, with properties calculated at the GGA-PBE level.

Values from the calculation:
- Crystal system: tetragonal
- E above lowest polymorph: 0 meV/atom

Lattice parameters (Å, degrees): 4.307 4.307 3.650 90.00 90.00 90.00
Space group P4/mmm (No. 123)
Asymmetric unit:
1 In 0.000 0.000 0.000
2 Ga 0.500 0.500 0.500
3 O 0.500 0.500 0.000
4 F 0.000 0.500 0.500

(4)
Below is a relaxed structure of PaIn2GaF8, with properties calculated at the GGA-PBE level.

Values from the calculation:
- Crystal system: tetragonal

Lattice parameters (Å, degrees): 6.170 6.170 11.929 90.00 90.00 90.00
Space group I-4m2 (No. 119)
Asymmetric unit:
1 Pa 0.000 0.000 0.000
2 In 0.000 0.000 0.500
3 In 0.000 0.500 0.250
4 Ga 0.000 0.500 0.750
5 F 0.207 0.211 0.892

(5)
Below is a relaxed structure of In2GaPbF8, with properties calculated at the GGA-PBE level.

Values from the calculation:
- Crystal system: triclinic

Lattice parameters (Å, degrees): 5.369 5.585 6.775 84.56 87.31 88.07
Space group P-1 (No. 2)
Asymmetric unit:
1 In 0.005 0.038 0.215
2 Ga 0.500 0.500 0.000
3 Pb 0.500 0.500 0.500
4 F 0.154 0.821 0.497
5 F 0.211 0.573 0.853
6 F 0.319 0.297 0.219
7 F 0.445 0.759 0.159

(6)
Below is a relaxed structure of Rb2InGa2F6, with properties calculated at the GGA-PBE level.

Values from the calculation:
- Crystal system: monoclinic

Lattice parameters (Å, degrees): 10.919 6.723 8.122 90.00 127.24 90.00
Space group C2/m (No. 12)
Asymmetric unit:
1 Rb 0.211 0.000 0.137
2 In 0.000 0.000 0.500
3 Ga 0.071 0.500 0.202
4 F 0.044 0.280 0.795
5 F 0.227 0.500 0.490

(7)
Below is a relaxed structure of InGaReF2, with properties calculated at the GGA-PBE level.

Values from the calculation:
- Crystal system: tetragonal

Lattice parameters (Å, degrees): 3.997 3.997 5.992 90.00 90.00 90.00
Space group P4/mmm (No. 123)
Asymmetric unit:
1 In 0.000 0.000 0.000
2 Ga 0.500 0.500 0.500
3 Re 0.000 0.000 0.500
4 F 0.000 0.500 0.000

(8)
Below is a relaxed structure of In2GaReF, with properties calculated at the GGA-PBE level.

Values from the calculation:
- Crystal system: tetragonal

Lattice parameters (Å, degrees): 5.237 5.237 4.797 90.00 90.00 90.00
Space group P4/mmm (No. 123)
Asymmetric unit:
1 In 0.000 0.500 0.000
2 Ga 0.000 0.000 0.500
3 Re 0.000 0.000 0.000
4 F 0.500 0.500 0.500

(9)
Below is a relaxed structure of InGaSbF2, with properties calculated at the GGA-PBE level.

Values from the calculation:
- Crystal system: tetragonal

Lattice parameters (Å, degrees): 4.379 4.379 6.007 90.00 90.00 90.00
Space group P4/mmm (No. 123)
Asymmetric unit:
1 In 0.000 0.000 0.000
2 Ga 0.500 0.500 0.000
3 Sb 0.500 0.500 0.500
4 F 0.000 0.500 0.500

(10)
Below is a relaxed structure of In2GaSnF, with properties calculated at the GGA-PBE level.

Values from the calculation:
- Crystal system: tetragonal

Lattice parameters (Å, degrees): 5.154 5.154 4.641 90.00 90.00 90.00
Space group P4/mmm (No. 123)
Asymmetric unit:
1 In 0.000 0.500 0.000
2 Ga 0.000 0.000 0.500
3 Sn 0.500 0.500 0.500
4 F 0.000 0.000 0.000

(11)
Below is a relaxed structure of SrInGa2F8, with properties calculated at the GGA-PBE level.

Values from the calculation:
- Crystal system: trigonal

Lattice parameters (Å, degrees): 5.6683 5.6683 8.6952 90.00 90.00 120.00
Space group P-3 (No. 147)
Asymmetric unit:
1 Sr 0.0000 0.0000 0.0000
2 In 0.0000 0.0000 0.5000
3 Ga 0.3333 0.6667 0.2751
4 F 0.0620 0.3525 0.1826
5 F 0.3333 0.6667 0.4834

(12)
Below is a relaxed structure of TiInGaF6, with properties calculated at the GGA-PBE level.

Values from the calculation:
- Crystal system: monoclinic

Lattice parameters (Å, degrees): 5.688 12.341 4.910 90.00 93.35 90.00
Space group C2 (No. 5)
Asymmetric unit:
1 Ti 0.000 0.000 0.000
2 In 0.000 0.691 0.000
3 Ga 0.000 0.378 0.500
4 F 0.124 0.108 0.782
5 F 0.136 0.890 0.789
6 F 0.211 0.501 0.772

| no. | electronic total energy (Ha/atom) | E_form (uncorrected) (eV/atom) |
| --- | --- | --- |
| 1 | -0.0787 | 0.198 |
| 2 | -0.1674 | -1.661 |
| 3 | -0.1711 | -1.763 |
| 4 | -0.2016 | -2.739 |
| 5 | -0.1661 | -2.253 |
| 6 | -0.1532 | -2.172 |
| 7 | -0.1720 | -0.290 |
| 8 | -0.1650 | 0.076 |
| 9 | -0.1382 | -1.035 |
| 10 | -0.1224 | -0.454 |
| 11 | -0.1713 | -2.542 |
| 12 | -0.1983 | -2.631 |